## CaTe2Rh (PBEsol)

Data for a geometry-optimized CaTe2Rh structure.

Cell and atoms, written as POSCAR:
```
CaTe2Rh
1.0
-1.0536 -2.1189 -3.3498
-5.1075 -2.7346 3.3362
-1.5750 3.7301 0.6466
Ca Te Rh
1 2 1
direct
0.3750 0.2500 0.7500 Ca
0.0415 0.9438 0.0831 Te
0.7085 0.5562 0.4169 Te
0.3750 0.7500 0.7500 Rh
```

Calculated values
**Formation energy without anion corrections**: -3.306 eV per formula unit
**ρ**: 6.8 g/cm³
**Relative energy among the computed polymorphs**: 0.000 eV per atom
**Total energy**: -20.6 eV for the cell shown
**Crystal system**: trigonal